w | A plane-wave DFT calculation with PBE-GGA was carried out for an optimized crystal structure of PmDyHg.

Calculated values
mass density: 8.7 g cm⁻³
density of states at the Fermi level: 19.0 states/eV per cell
size of the total moment: 0.03 μB/atom
calculated volume: 32.46 Å³ per atom

Lattice parameters (Å, degrees): 7.303 7.303 7.303 90.00 90.00 90.00
Space group F-43m (No. 216)
Asymmetric unit:
Pm 0.000 0.000 0.000 [4 per cell]
Dy 0.000 0.000 0.500 [4 per cell]
Hg 0.250 0.250 0.750 [4 per cell]


x | A plane-wave DFT calculation with PBE-GGA was carried out for an optimized crystal structure of PmDyHg.

Calculated values
mass density: 9.7 g cm⁻³
density of states at the Fermi level: 7.4 states/eV per cell
size of the total moment: 0.21 μB/atom
calculated volume: 28.95 Å³ per atom

Lattice parameters (Å, degrees): 3.673 3.673 12.875 90.00 90.00 90.00
Space group I4mm (No. 107)
Asymmetric unit:
Pm 0.000 0.000 0.000 [2 per cell]
Dy 0.000 0.000 0.308 [2 per cell]
Hg 0.000 0.000 0.664 [2 per cell]


y | A plane-wave DFT calculation with PBE-GGA was carried out for an optimized crystal structure of PmDyHg.

Calculated values
mass density: 9.6 g cm⁻³
density of states at the Fermi level: 3.7 states/eV per cell
size of the total moment: 0.00 μB/atom
calculated volume: 29.42 Å³ per atom

Lattice parameters (Å, degrees): 5.1652 5.1652 3.8205 90.00 90.00 120.00
Space group P3m1 (No. 156)
Asymmetric unit:
Pm 0.0000 0.0000 0.0000 [1 per cell]
Dy 0.6667 0.3333 0.5379 [1 per cell]
Hg 0.3333 0.6667 0.3669 [1 per cell]


Energies, relative to the best one, in meV/atom: w 206; x 0; y 119.


w | A plane-wave DFT calculation with PBE-GGA was carried out for an optimized crystal structure of PmDyHg.

Calculated values
mass density: 9.4 g cm⁻³
density of states at the Fermi level: 3.4 states/eV per cell
size of the total moment: 0.00 μB/atom
calculated volume: 30.02 Å³ per atom

Lattice parameters (Å, degrees): 4.833 4.833 7.710 90.00 90.00 90.00
Space group P4/nmm (No. 129, origin choice 2)
Asymmetric unit:
Pm 0.250 0.250 0.136 [2 per cell]
Dy 0.250 0.750 0.500 [2 per cell]
Hg 0.250 0.250 0.750 [2 per cell]


x | A plane-wave DFT calculation with PBE-GGA was carried out for an optimized crystal structure of PmDyHg.

Calculated values
mass density: 9.7 g cm⁻³
density of states at the Fermi level: 13.0 states/eV per cell
size of the total moment: 0.00 μB/atom
calculated volume: 28.88 Å³ per atom

Lattice parameters (Å, degrees): 8.9115 8.9115 3.7789 90.00 90.00 120.00
Space group P-62m (No. 189)
Asymmetric unit:
Pm 0.0000 0.3923 0.0000 [3 per cell]
Dy 0.0000 0.7258 0.5000 [3 per cell]
Hg 0.0000 0.0000 0.0000 [1 per cell]
Hg 0.3333 0.6667 0.5000 [2 per cell]


Energies, relative to the best one, in meV/atom: w 0; x 10.


w | A plane-wave DFT calculation with PBE-GGA was carried out for an optimized crystal structure of PmDyHg3.

Calculated values
mass density: 11.0 g cm⁻³
density of states at the Fermi level: 31.2 states/eV per cell
size of the total moment: 0.00 μB/atom
calculated volume: 27.46 Å³ per atom

Lattice parameters (Å, degrees): 15.362 9.272 7.711 90.00 90.00 90.00
Space group Cmcm (No. 63)
Asymmetric unit:
Pm 0.000 0.023 0.250 [4 per cell]
Pm 0.000 0.473 0.250 [4 per cell]
Dy 0.233 0.266 0.250 [8 per cell]
Hg 0.096 0.275 0.542 [16 per cell]
Hg 0.196 0.000 0.000 [8 per cell]


x | A plane-wave DFT calculation with PBE-GGA was carried out for an optimized crystal structure of PmDyHg3.

Calculated values
mass density: 11.6 g cm⁻³
density of states at the Fermi level: 21.3 states/eV per cell
size of the total moment: 0.03 μB/atom
calculated volume: 26.02 Å³ per atom

Lattice parameters (Å, degrees): 3.594 29.203 4.958 90.00 90.00 90.00
Space group Cmcm (No. 63)
Asymmetric unit:
Pm 0.000 0.076 0.250 [4 per cell]
Dy 0.000 0.211 0.750 [4 per cell]
Hg 0.000 0.318 0.750 [4 per cell]
Hg 0.000 0.377 0.250 [4 per cell]
Hg 0.000 0.476 0.250 [4 per cell]


Energies, relative to the best one, in meV/atom: w 81; x 0.


w | A plane-wave DFT calculation with PBE-GGA was carried out for an optimized crystal structure of Pm2DyHg4.

Calculated values
mass density: 8.4 g cm⁻³
density of states at the Fermi level: 13.8 states/eV per cell
size of the total moment: 0.00 μB/atom
calculated volume: 35.33 Å³ per atom

Lattice parameters (Å, degrees): 5.632 5.632 15.595 90.00 90.00 90.00
Space group I4/mmm (No. 139)
Asymmetric unit:
Pm 0.000 0.000 0.105 [4 per cell]
Dy 0.000 0.000 0.500 [2 per cell]
Hg 0.000 0.000 0.306 [4 per cell]
Hg 0.000 0.500 0.000 [4 per cell]


x | A plane-wave DFT calculation with PBE-GGA was carried out for an optimized crystal structure of Pm2DyHg4.

Calculated values
mass density: 10.2 g cm⁻³
density of states at the Fermi level: 16.1 states/eV per cell
size of the total moment: 0.00 μB/atom
calculated volume: 29.23 Å³ per atom

Lattice parameters (Å, degrees): 5.1513 5.1513 26.7112 90.00 90.00 120.00
Space group R-3m (No. 166, hexagonal axes)
Asymmetric unit:
Pm 0.0000 0.0000 0.2440 [6 per cell]
Dy 0.0000 0.0000 0.0000 [3 per cell]
Hg 0.0000 0.0000 0.1264 [6 per cell]
Hg 0.0000 0.0000 0.3714 [6 per cell]


Energies, relative to the best one, in meV/atom: w 322; x 0.


w | A plane-wave DFT calculation with PBE-GGA was carried out for an optimized crystal structure of PmDyHg6.

Calculated values
mass density: 12.5 g cm⁻³
density of states at the Fermi level: 6.5 states/eV per cell
size of the total moment: 0.00 μB/atom
calculated volume: 25.07 Å³ per atom

Lattice parameters (Å, degrees): 4.709 4.709 9.046 90.00 90.00 90.00
Space group P4/mmm (No. 123)
Asymmetric unit:
Pm 0.000 0.000 0.000 [1 per cell]
Dy 0.000 0.000 0.500 [1 per cell]
Hg 0.000 0.500 0.254 [4 per cell]
Hg 0.500 0.500 0.000 [1 per cell]
Hg 0.500 0.500 0.500 [1 per cell]


x | A plane-wave DFT calculation with PBE-GGA was carried out for an optimized crystal structure of PmDyHg6.

Calculated values
mass density: 12.8 g cm⁻³
density of states at the Fermi level: 10.8 states/eV per cell
size of the total moment: 0.00 μB/atom
calculated volume: 24.56 Å³ per atom

Lattice parameters (Å, degrees): 5.034 6.748 11.569 90.00 90.00 90.00
Space group Amm2 (No. 38)
Asymmetric unit:
Pm 0.000 0.000 0.000 [2 per cell]
Dy 0.500 0.000 0.675 [2 per cell]
Hg 0.000 0.000 0.507 [2 per cell]
Hg 0.000 0.247 0.253 [4 per cell]
Hg 0.500 0.000 0.172 [2 per cell]
Hg 0.500 0.241 0.420 [4 per cell]


Energies, relative to the best one, in meV/atom: w 35; x 0.


w | A plane-wave DFT calculation with PBE-GGA was carried out for an optimized crystal structure of PmDySnHg.

Calculated values
mass density: 9.6 g cm⁻³
density of states at the Fermi level: 14.8 states/eV per cell
size of the total moment: 0.00 μB/atom
calculated volume: 27.05 Å³ per atom

Lattice parameters (Å, degrees): 7.564 7.564 7.564 90.00 90.00 90.00
Space group F-43m (No. 216)
Asymmetric unit:
Pm 0.000 0.000 0.000 [4 per cell]
Dy 0.000 0.000 0.500 [4 per cell]
Sn 0.250 0.250 0.250 [4 per cell]
Hg 0.250 0.250 0.750 [4 per cell]


x | A plane-wave DFT calculation with PBE-GGA was carried out for an optimized crystal structure of PmDySnHg.

Calculated values
mass density: 9.6 g cm⁻³
density of states at the Fermi level: 2.9 states/eV per cell
size of the total moment: 0.00 μB/atom
calculated volume: 27.17 Å³ per atom

Lattice parameters (Å, degrees): 3.822 3.822 7.440 90.00 90.00 90.00
Space group P4mm (No. 99)
Asymmetric unit:
Pm 0.000 0.000 0.000 [1 per cell]
Dy 0.000 0.000 0.507 [1 per cell]
Sn 0.500 0.500 0.262 [1 per cell]
Hg 0.500 0.500 0.740 [1 per cell]


Energies, relative to the best one, in meV/atom: w 0; x 10.


w | A plane-wave DFT calculation with PBE-GGA was carried out for an optimized crystal structure of PmDyTmHg.

Calculated values
mass density: 10.0 g cm⁻³
density of states at the Fermi level: 25.8 states/eV per cell
size of the total moment: 0.23 μB/atom
calculated volume: 28.00 Å³ per atom

Lattice parameters (Å, degrees): 7.652 7.652 7.652 90.00 90.00 90.00
Space group F-43m (No. 216)
Asymmetric unit:
Pm 0.000 0.000 0.000 [4 per cell]
Dy 0.250 0.250 0.750 [4 per cell]
Tm 0.250 0.250 0.250 [4 per cell]
Hg 0.000 0.000 0.500 [4 per cell]


x | A plane-wave DFT calculation with PBE-GGA was carried out for an optimized crystal structure of PmDyTmHg.

Calculated values
mass density: 9.7 g cm⁻³
density of states at the Fermi level: 3.9 states/eV per cell
size of the total moment: 0.00 μB/atom
calculated volume: 28.99 Å³ per atom

Lattice parameters (Å, degrees): 3.610 3.610 8.898 90.00 90.00 90.00
Space group P4mm (No. 99)
Asymmetric unit:
Pm 0.000 0.000 0.000 [1 per cell]
Dy 0.500 0.500 0.284 [1 per cell]
Tm 0.500 0.500 0.719 [1 per cell]
Hg 0.000 0.000 0.507 [1 per cell]


Energies, relative to the best one, in meV/atom: w 223; x 0.


w | A plane-wave DFT calculation with PBE-GGA was carried out for an optimized crystal structure of PmDyYHg.

Calculated values
mass density: 8.7 g cm⁻³
density of states at the Fermi level: 25.9 states/eV per cell
size of the total moment: 0.23 μB/atom
calculated volume: 28.50 Å³ per atom

Lattice parameters (Å, degrees): 7.697 7.697 7.697 90.00 90.00 90.00
Space group F-43m (No. 216)
Asymmetric unit:
Pm 0.000 0.000 0.000 [4 per cell]
Dy 0.250 0.250 0.750 [4 per cell]
Y 0.250 0.250 0.250 [4 per cell]
Hg 0.000 0.000 0.500 [4 per cell]


x | A plane-wave DFT calculation with PBE-GGA was carried out for an optimized crystal structure of PmDyYHg.

Calculated values
mass density: 8.4 g cm⁻³
density of states at the Fermi level: 4.9 states/eV per cell
size of the total moment: 0.00 μB/atom
calculated volume: 29.59 Å³ per atom

Lattice parameters (Å, degrees): 3.642 3.642 8.922 90.00 90.00 90.00
Space group P4mm (No. 99)
Asymmetric unit:
Pm 0.000 0.000 0.000 [1 per cell]
Dy 0.500 0.500 0.280 [1 per cell]
Y 0.500 0.500 0.716 [1 per cell]
Hg 0.000 0.000 0.497 [1 per cell]


Energies, relative to the best one, in meV/atom: w 207; x 0.


w | A plane-wave DFT calculation with PBE-GGA was carried out for an optimized crystal structure of PmDyZnHg.

Calculated values
mass density: 9.5 g cm⁻³
density of states at the Fermi level: 4.0 states/eV per cell
size of the total moment: 0.00 μB/atom
calculated volume: 25.07 Å³ per atom

Lattice parameters (Å, degrees): 3.650 3.650 7.527 90.00 90.00 90.00
Space group P4mm (No. 99)
Asymmetric unit:
Pm 0.000 0.000 0.000 [1 per cell]
Dy 0.000 0.000 0.466 [1 per cell]
Zn 0.500 0.500 0.245 [1 per cell]
Hg 0.500 0.500 0.718 [1 per cell]


x | A plane-wave DFT calculation with PBE-GGA was carried out for an optimized crystal structure of PmDyZnHg.

Calculated values
mass density: 9.4 g cm⁻³
density of states at the Fermi level: 16.9 states/eV per cell
size of the total moment: 0.18 μB/atom
calculated volume: 25.36 Å³ per atom

Lattice parameters (Å, degrees): 7.404 7.404 7.404 90.00 90.00 90.00
Space group F-43m (No. 216)
Asymmetric unit:
Pm 0.000 0.000 0.000 [4 per cell]
Dy 0.000 0.000 0.500 [4 per cell]
Zn 0.250 0.250 0.750 [4 per cell]
Hg 0.250 0.250 0.250 [4 per cell]


Energies, relative to the best one, in meV/atom: w 0; x 26.


w | A plane-wave DFT calculation with PBE-GGA was carried out for an optimized crystal structure of Pr2Dy3Hg2.

Calculated values
mass density: 9.2 g cm⁻³
density of states at the Fermi level: 16.5 states/eV per cell
size of the total moment: 0.00 μB/atom
calculated volume: 30.16 Å³ per atom

Lattice parameters (Å, degrees): 3.646 32.199 3.596 90.00 90.00 90.00
Space group Cmmm (No. 65)
Asymmetric unit:
Pr 0.000 0.201 0.000 [4 per cell]
Dy 0.000 0.075 0.000 [4 per cell]
Dy 0.000 0.500 0.500 [2 per cell]
Hg 0.000 0.366 0.500 [4 per cell]


x | A plane-wave DFT calculation with PBE-GGA was carried out for an optimized crystal structure of Pr2Dy3Hg2.

Calculated values
mass density: 9.0 g cm⁻³
density of states at the Fermi level: 18.1 states/eV per cell
size of the total moment: 0.00 μB/atom
calculated volume: 30.91 Å³ per atom

Lattice parameters (Å, degrees): 12.045 4.774 8.348 90.00 115.64 90.00
Space group C2/m (No. 12)
Asymmetric unit:
Pr 0.135 0.000 0.288 [4 per cell]
Dy 0.000 0.500 0.500 [2 per cell]
Dy 0.129 0.500 0.956 [4 per cell]
Hg 0.151 0.000 0.701 [4 per cell]


Energies, relative to the best one, in meV/atom: w 0; x 8.


w | A plane-wave DFT calculation with PBE-GGA was carried out for an optimized crystal structure of PrDyHg4.

Calculated values
mass density: 12.0 g cm⁻³
density of states at the Fermi level: 15.2 states/eV per cell
size of the total moment: 0.00 μB/atom
calculated volume: 25.50 Å³ per atom

Lattice parameters (Å, degrees): 8.490 8.490 8.490 90.00 90.00 90.00
Space group F-43m (No. 216)
Asymmetric unit:
Pr 0.000 0.000 0.000 [4 per cell]
Dy 0.250 0.250 0.750 [4 per cell]
Hg 0.125 0.125 0.375 [16 per cell]


x | A plane-wave DFT calculation with PBE-GGA was carried out for an optimized crystal structure of PrDyHg4.

Calculated values
mass density: 11.7 g cm⁻³
density of states at the Fermi level: 8.7 states/eV per cell
size of the total moment: 0.00 μB/atom
calculated volume: 26.17 Å³ per atom

Lattice parameters (Å, degrees): 10.647 3.914 8.091 90.00 111.36 90.00
Space group C2/m (No. 12)
Asymmetric unit:
Pr 0.000 0.000 0.000 [2 per cell]
Dy 0.000 0.000 0.500 [2 per cell]
Hg 0.167 0.500 0.821 [4 per cell]
Hg 0.168 0.500 0.344 [4 per cell]


Energies, relative to the best one, in meV/atom: w 114; x 0.


w | A plane-wave DFT calculation with PBE-GGA was carried out for an optimized crystal structure of Pr4DyHg.

Calculated values
mass density: 7.7 g cm⁻³
density of states at the Fermi level: 33.7 states/eV per cell
size of the total moment: 0.00 μB/atom
calculated volume: 33.45 Å³ per atom

Lattice parameters (Å, degrees): 9.089 14.295 6.548 90.00 109.31 90.00
Space group C2/c (No. 15)
Asymmetric unit:
Pr 0.100 0.189 0.049 [8 per cell]
Pr 0.215 0.387 0.375 [8 per cell]
Dy 0.000 0.408 0.750 [4 per cell]
Hg 0.000 0.002 0.750 [4 per cell]


x | A plane-wave DFT calculation with PBE-GGA was carried out for an optimized crystal structure of Pr4DyHg.

Calculated values
mass density: 7.8 g cm⁻³
density of states at the Fermi level: 8.2 states/eV per cell
size of the total moment: 0.00 μB/atom
calculated volume: 33.01 Å³ per atom

Lattice parameters (Å, degrees): 3.727 3.727 14.261 90.00 90.00 90.00
Space group P4/mmm (No. 123)
Asymmetric unit:
Pr 0.000 0.000 0.144 [2 per cell]
Pr 0.500 0.500 0.325 [2 per cell]
Dy 0.000 0.000 0.500 [1 per cell]
Hg 0.500 0.500 0.000 [1 per cell]


Energies, relative to the best one, in meV/atom: w 92; x 0.